The following is a SCAN calculation of SrCaFeTe2 at its PBEsol-relaxed geometry, from Alexandria via LeMat-Bulk.

Uncorrected formation energy in meV per atom: 389
M_tot in Bohr magnetons per cell: 4.34
Calculated density in g/cm3: 3.7

```
SrCaFeTe2
1.0
-4.5716 -2.6345 2.0034
2.1197 -4.9543 -1.6781
2.8083 -0.6705 5.5268
Fe Sr Ca Te
1 1 1 2
Direct
0.5000 0.5000 0.5000
0.0000 0.0000 0.5000
0.0000 0.0000 0.0000
0.0000 0.5000 0.0000
0.5000 0.0000 0.0000
```

The following is a SCAN calculation of Zn2CdPt at its PBEsol-relaxed geometry, from Alexandria via LeMat-Bulk.

Formation enthalpy at 0 K in eV/atom: -0.317
M_tot in Bohr magnetons per cell: 0.00
Calculated density in g/cm3: 12.0

```
Zn2CdPt
1.0
3.8233 0.0000 0.0000
0.0000 3.8233 0.0000
-1.9117 -1.9117 4.1576
Zn Cd Pt
2 1 1
Direct
0.0000 0.0000 0.0000
0.7500 0.2500 0.5000
0.5000 0.5000 0.0000
0.2500 0.7500 0.5000
```

The following is a SCAN calculation of GeO2 at its PBEsol-relaxed geometry, from Alexandria via LeMat-Bulk.

Uncorrected formation energy in meV per atom: -1804
M_tot in Bohr magnetons per cell: 0.00
Calculated density in g/cm3: 6.2

```
GeO2
1.0
2.8858 0.0000 0.0000
0.0000 4.4249 0.0000
0.0000 0.0000 4.4249
Ge O
2 4
Direct
0.0000 0.0000 0.0000
0.5000 0.5000 0.5000
0.5000 0.1937 0.1937
0.0000 0.6937 0.3063
0.5000 0.8063 0.8063
0.0000 0.3063 0.6937
```

The following is a SCAN calculation of CuPtAu2 at its PBEsol-relaxed geometry, from Alexandria via LeMat-Bulk.

Formation enthalpy at 0 K in eV/atom: -0.027
Energy relative to the lowest polymorph listed for this composition in eV per atom: 0.028
M_tot in Bohr magnetons per cell: 0.00
Calculated density in g/cm3: 17.9

```
CuPtAu2
1.0
2.8439 0.0000 0.0000
0.0000 3.6717 0.0000
0.0000 0.0000 5.8105
Au Cu Pt
2 1 1
Direct
0.0000 0.5000 0.2656
0.5000 0.0000 0.9934
0.5000 0.0000 0.5092
0.0000 0.5000 0.7318
```

The following is a SCAN calculation of BeFe4Mo at its PBEsol-relaxed geometry, from Alexandria via LeMat-Bulk.

Formation enthalpy at 0 K in eV/atom: 0.153
M_tot in Bohr magnetons per cell: 6.61
Calculated density in g/cm3: 8.2

```
BeFe4Mo
1.0
-2.3819 -3.8791 0.1423
-0.8708 -2.2798 -3.8452
2.0708 -3.9747 -0.8094
Fe Mo Be
4 1 1
Direct
0.6259 0.1224 0.6259
0.1224 0.6259 0.6259
0.6259 0.6259 0.6259
0.6259 0.6259 0.1224
0.2500 0.2500 0.2500
0.0000 0.0000 0.0000
```

The following is a SCAN calculation of Ti2Hg2Os at its PBEsol-relaxed geometry, from Alexandria via LeMat-Bulk.

Formation enthalpy at 0 K in eV/atom: 0.517
M_tot in Bohr magnetons per cell: 1.56
Calculated density in g/cm3: 11.9

```
Ti2Hg2Os
1.0
-3.1380 1.8707 0.3375
0.1608 -0.3878 3.6448
5.1687 5.3442 -1.5060
Hg Os Ti
2 1 2
Direct
0.2500 0.7500 0.5000
0.7500 0.2500 0.5000
0.0000 0.0000 0.0000
0.5818 0.5818 0.1636
0.4182 0.4182 0.8364
```

The following is a SCAN calculation of PrHgPd at its PBEsol-relaxed geometry, from Alexandria via LeMat-Bulk.

Formation enthalpy at 0 K in eV/atom: -0.810
M_tot in Bohr magnetons per cell: 0.00
Calculated density in g/cm3: 11.1

```
PrHgPd
1.0
3.9027 0.0000 0.0000
0.0000 7.7072 0.0000
0.0000 -3.8536 6.6746
Hg Pd Pr
3 3 3
Direct
0.0000 0.2624 0.0000
0.0000 0.7376 0.7376
0.0000 0.0000 0.2624
0.0000 0.6667 0.3333
0.0000 0.3333 0.6667
0.5000 0.0000 0.0000
0.5000 0.0000 0.5998
0.5000 0.5998 0.0000
0.5000 0.4002 0.4002
```

The following is a SCAN calculation of GaP3Br at its PBEsol-relaxed geometry, from Alexandria via LeMat-Bulk.

Uncorrected formation energy in meV per atom: 1607
M_tot in Bohr magnetons per cell: 0.00
Calculated density in g/cm3: 3.6

```
GaP3Br
1.0
4.8224 0.0000 0.0000
0.0000 4.8224 0.0000
0.0000 0.0000 4.8224
P Br Ga
3 1 1
Direct
0.0000 0.5000 0.0000
0.0000 0.0000 0.5000
0.5000 0.0000 0.0000
0.0000 0.0000 0.0000
0.5000 0.5000 0.5000
```

The following is a SCAN calculation of Zr2BrCl at its PBEsol-relaxed geometry, from Alexandria via LeMat-Bulk.

Uncorrected formation energy in meV per atom: -675
Energy relative to the lowest polymorph listed for this composition in eV per atom: 0.618
M_tot in Bohr magnetons per cell: 0.00
Calculated density in g/cm3: 6.3

```
Zr2BrCl
1.0
-1.3420 -1.3414 2.6092
4.4377 -2.0673 1.2196
1.4666 4.2849 1.9268
Br Zr Cl
1 2 1
Direct
0.5592 0.0000 0.5027
0.5871 0.5000 0.2815
0.1602 0.0000 0.9654
0.1935 0.5000 0.7504
```

The following is a SCAN calculation of Mg3Tl4 at its PBEsol-relaxed geometry, from Alexandria via LeMat-Bulk.

Formation enthalpy at 0 K in eV/atom: -0.035
Energy relative to the lowest polymorph listed for this composition in eV per atom: 0.000
M_tot in Bohr magnetons per cell: 0.00
Calculated density in g/cm3: 8.4

```
Mg3Tl4
1.0
-3.1318 -1.9004 -0.8949
-0.2807 -1.2135 3.5594
-5.0948 11.4321 1.4980
Mg Tl
3 4
Direct
0.7145 0.7145 0.4289
0.0000 0.0000 0.0000
0.2855 0.2855 0.5711
0.5711 0.5711 0.1423
0.4289 0.4289 0.8577
0.8498 0.8498 0.6996
0.1502 0.1502 0.3004
```

The following is a SCAN calculation of KFePt2 at its PBEsol-relaxed geometry, from Alexandria via LeMat-Bulk.

Formation enthalpy at 0 K in eV/atom: 0.251
Energy relative to the lowest polymorph listed for this composition in eV per atom: 0.235
M_tot in Bohr magnetons per cell: 3.41
Calculated density in g/cm3: 11.3

```
KFePt2
1.0
2.7750 0.0000 0.0000
0.0000 2.7750 0.0000
0.0000 0.0000 9.2353
Pt Fe K
2 1 1
Direct
0.0000 0.0000 0.0389
0.5000 0.5000 0.2580
0.0000 0.0000 0.4378
0.5000 0.5000 0.7653
```

The following is a SCAN calculation of KSr3Cr at its PBEsol-relaxed geometry, from Alexandria via LeMat-Bulk.

Formation enthalpy at 0 K in eV/atom: 1.148
M_tot in Bohr magnetons per cell: 3.59
Calculated density in g/cm3: 2.1

```
KSr3Cr
1.0
-4.3883 4.5661 -1.7152
-4.2459 -4.7115 -1.6799
-2.4008 -0.0136 6.1061
Sr K Cr
3 1 1
Direct
0.5000 0.0000 0.0000
0.0000 0.5000 0.0000
0.0000 0.0000 0.5000
0.0000 0.0000 0.0000
0.5000 0.5000 0.5000
```

The following is a SCAN calculation of Mg14Si5O24 at its PBEsol-relaxed geometry, from Alexandria via LeMat-Bulk.

Uncorrected formation energy in meV per atom: -3081
M_tot in Bohr magnetons per cell: 0.00
Calculated density in g/cm3: 3.4

```
Mg14Si5O24
1.0
-4.3399 -3.7379 1.3649
6.2125 -7.7900 -1.5804
3.9637 0.3884 13.6669
Mg O Si
28 48 10
Direct
0.5000 0.5000 0.5000
0.2438 0.5808 0.3303
0.5000 0.0000 0.5000
0.2402 0.2534 0.0025
0.5000 0.3537 0.1741
0.2402 0.7534 0.4975
0.0000 0.1795 0.8239
0.7598 0.7534 0.4975
0.2438 0.9192 0.8303
0.7598 0.7466 0.9975
0.5000 0.6463 0.8259
0.5000 0.1463 0.6741
0.7562 0.5808 0.3303
0.2438 0.4192 0.6697
0.2402 0.7466 0.9975
0.5000 0.5000 0.0000
0.7598 0.2534 0.0025
0.7562 0.4192 0.6697
0.5000 0.8537 0.3259
0.7562 0.9192 0.8303
0.7562 0.0808 0.1697
0.0000 0.8205 0.1761
0.2402 0.2466 0.5025
0.5000 0.0000 0.0000
0.0000 0.3205 0.3239
0.0000 0.6795 0.6761
0.7598 0.2466 0.5025
0.2438 0.0808 0.1697
0.2354 0.0788 0.5872
0.5000 0.3304 0.9255
0.2354 0.4212 0.0872
0.0000 0.6538 0.0858
0.2152 0.5751 0.5738
0.7646 0.9212 0.4128
0.0000 0.3535 0.5758
0.2354 0.9212 0.4128
0.2152 0.4249 0.4262
0.0000 0.1538 0.4142
0.5000 0.6720 0.4139
0.7188 0.7530 0.7383
0.2812 0.7470 0.2383
0.0000 0.6465 0.4242
0.5000 0.9729 0.7403
0.5000 0.8304 0.5745
0.5000 0.6696 0.0745
0.0000 0.9957 0.2581
0.7848 0.4249 0.4262
0.0000 0.8462 0.5858
0.2152 0.9249 0.0738
0.5000 0.1720 0.0861
0.7848 0.9249 0.0738
0.0000 0.8535 0.9242
0.5000 0.1696 0.4255
0.7848 0.5751 0.5738
0.2812 0.2530 0.7617
0.7646 0.5788 0.9128
0.5000 0.8280 0.9139
0.7646 0.4212 0.0872
0.0000 0.0043 0.7419
0.7188 0.7470 0.2383
0.7646 0.0788 0.5872
0.0000 0.3462 0.9142
0.7848 0.0751 0.9262
0.2812 0.2470 0.2617
0.5000 0.3280 0.5861
0.2152 0.0751 0.9262
0.2354 0.5788 0.9128
0.0000 0.5043 0.7581
0.0000 0.1465 0.0758
0.7188 0.2470 0.2617
0.2812 0.7530 0.7383
0.7188 0.2530 0.7617
0.5000 0.5271 0.2403
0.5000 0.4729 0.7597
0.5000 0.0271 0.2597
0.0000 0.4957 0.2419
0.5000 0.1737 0.3115
0.0000 0.4979 0.1246
0.0000 0.5021 0.8754
0.5000 0.8263 0.6885
0.0000 0.5000 0.5000
0.0000 0.0000 0.0000
0.5000 0.3263 0.8115
0.5000 0.6737 0.1885
0.0000 0.0021 0.6246
0.0000 0.9979 0.3754
```

The following is a SCAN calculation of Ce4Ni3Pt at its PBEsol-relaxed geometry, from Alexandria via LeMat-Bulk.

Formation enthalpy at 0 K in eV/atom: -0.519
M_tot in Bohr magnetons per cell: 2.31
Calculated density in g/cm3: 9.7

```
Ce4Ni3Pt
1.0
-1.4278 -0.0519 3.3324
0.9074 -4.1245 0.3245
9.3036 2.3633 4.0230
Ce Ni Pt
4 3 1
Direct
0.5000 0.5000 0.3739
0.0000 0.0000 0.1390
0.0000 0.5000 0.8488
0.5000 0.0000 0.6429
0.0000 0.5000 0.5780
0.5000 0.0000 0.9114
0.0000 0.0000 0.4211
0.5000 0.5000 0.0849
```

The following is a SCAN calculation of SiTe2 at its PBEsol-relaxed geometry, from Alexandria via LeMat-Bulk.

Uncorrected formation energy in meV per atom: 91
M_tot in Bohr magnetons per cell: 0.00
Calculated density in g/cm3: 5.8

```
SiTe2
1.0
3.7398 0.0000 0.0000
-1.8699 3.2388 0.0000
0.0000 0.0000 6.6960
Te Si
2 1
Direct
0.6667 0.3333 0.2438
0.3333 0.6667 0.7562
0.0000 0.0000 0.0000
```

The following is a SCAN calculation of CaY2Re at its PBEsol-relaxed geometry, from Alexandria via LeMat-Bulk.

Formation enthalpy at 0 K in eV/atom: 0.662
Energy relative to the lowest polymorph listed for this composition in eV per atom: 0.322
M_tot in Bohr magnetons per cell: 0.01
Calculated density in g/cm3: 7.2

```
CaY2Re
1.0
3.0578 0.0000 0.0000
0.0000 5.7702 -0.0267
0.0000 -2.6408 5.3161
Y Ca Re
2 1 1
Direct
0.5000 0.0000 0.5000
0.0000 0.0000 0.0000
0.5000 0.5000 0.0000
0.0000 0.5000 0.5000
```

The following is a SCAN calculation of RbGaTe2 at its PBEsol-relaxed geometry, from Alexandria via LeMat-Bulk.

Uncorrected formation energy in meV per atom: -249
M_tot in Bohr magnetons per cell: 0.00
Calculated density in g/cm3: 4.8

```
RbGaTe2
1.0
-0.2634 -2.8486 2.9238
-2.4808 -3.2147 -0.4940
6.4645 -7.0630 -3.4374
Ga Te Rb
1 2 1
Direct
0.5000 0.5000 0.5000
0.8859 0.8859 0.3422
0.1141 0.1141 0.6578
0.0000 0.0000 0.0000
```

The following is a SCAN calculation of PmSmIr2 at its PBEsol-relaxed geometry, from Alexandria via LeMat-Bulk.

Formation enthalpy at 0 K in eV/atom: -0.765
M_tot in Bohr magnetons per cell: 0.01
Calculated density in g/cm3: 13.6

```
PmSmIr2
1.0
-0.1636 4.8474 0.6453
-4.0377 2.4921 -1.1944
-2.8259 1.9068 3.5098
Pm Ir Sm
1 2 1
Direct
0.5000 0.5000 0.5000
0.2500 0.2500 0.2500
0.7500 0.7500 0.7500
0.0000 0.0000 0.0000
```

The following is a SCAN calculation of Ti2CrSe4 at its PBEsol-relaxed geometry, from Alexandria via LeMat-Bulk.

Uncorrected formation energy in meV per atom: -1137
M_tot in Bohr magnetons per cell: 2.82
Calculated density in g/cm3: 6.0

```
Ti2CrSe4
1.0
-0.4397 3.2398 1.2740
-2.7887 1.6790 -5.2319
-3.6401 -4.0350 4.1722
Se Ti Cr
4 2 1
Direct
0.1117 0.4507 0.2234
0.3742 0.0419 0.7485
0.6258 0.9581 0.2515
0.8883 0.5493 0.7766
0.2522 0.2793 0.5045
0.7478 0.7207 0.4955
0.0000 0.0000 0.0000
```

The following is a SCAN calculation of KIn2Ru at its PBEsol-relaxed geometry, from Alexandria via LeMat-Bulk.

Formation enthalpy at 0 K in eV/atom: 0.342
M_tot in Bohr magnetons per cell: 0.17
Calculated density in g/cm3: 6.2

```
KIn2Ru
1.0
2.8936 0.0000 0.0000
0.0000 5.9151 0.0000
-1.4468 -2.9576 5.7809
K In Ru
1 2 1
Direct
0.0000 0.5000 0.0000
0.1946 0.1946 0.3891
0.8054 0.8054 0.6109
0.5000 0.0000 0.0000
```

The following is a SCAN calculation of ScSe3F at its PBEsol-relaxed geometry, from Alexandria via LeMat-Bulk.

Uncorrected formation energy in meV per atom: -325
M_tot in Bohr magnetons per cell: 0.00
Calculated density in g/cm3: 5.2

```
ScSe3F
1.0
-2.7972 -1.5460 -3.2635
0.4556 -4.2461 1.6210
-3.5824 0.6671 2.7544
Se Sc F
3 1 1
Direct
0.5000 0.0000 0.0000
0.0000 0.5000 0.0000
0.0000 0.0000 0.5000
0.5000 0.5000 0.5000
0.0000 0.0000 0.0000
```

The following is a SCAN calculation of K3MnB at its PBEsol-relaxed geometry, from Alexandria via LeMat-Bulk.

Formation enthalpy at 0 K in eV/atom: 1.555
M_tot in Bohr magnetons per cell: 7.50
Calculated density in g/cm3: 1.2

```
K3MnB
1.0
-0.2247 -3.1235 5.5024
-4.7363 -3.5676 -2.2187
4.1952 -4.1950 -2.2100
B K Mn
1 3 1
Direct
0.5000 0.5000 0.5000
0.0000 0.5000 0.0000
0.5000 0.0000 0.0000
0.0000 0.0000 0.5000
0.0000 0.0000 0.0000
```

The following is a SCAN calculation of Zn3ReI at its PBEsol-relaxed geometry, from Alexandria via LeMat-Bulk.

Uncorrected formation energy in meV per atom: 928
M_tot in Bohr magnetons per cell: 3.04
Calculated density in g/cm3: 6.9

```
Zn3ReI
1.0
4.9592 0.0000 0.0000
0.0000 4.9592 0.0000
0.0000 0.0000 4.9592
Zn I Re
3 1 1
Direct
0.5000 0.0000 0.0000
0.0000 0.5000 0.0000
0.0000 0.0000 0.5000
0.5000 0.5000 0.5000
0.0000 0.0000 0.0000
```

The following is a SCAN calculation of HfCdF3 at its PBEsol-relaxed geometry, from Alexandria via LeMat-Bulk.

Uncorrected formation energy in meV per atom: -2403
M_tot in Bohr magnetons per cell: 1.00
Calculated density in g/cm3: 7.5

```
HfCdF3
1.0
4.2559 0.0000 0.0000
0.0000 4.2559 0.0000
0.0000 0.0000 4.2559
Hf F Cd
1 3 1
Direct
0.0000 0.0000 0.0000
0.5000 0.0000 0.0000
0.0000 0.5000 0.0000
0.0000 0.0000 0.5000
0.5000 0.5000 0.5000
```

One value per record, in order, for DOS at the Fermi energy: 3.1; 0.8; 0.0; 1.5; 3.2; 2.9; 5.6; 5.4; 2.2; 3.0; 3.0; 9.4; 0.0; 12.0; 1.4; 3.9; 1.6; 2.0; 3.8; 1.7; 2.2; 9.1; 2.2; 2.1 states/eV per cell.